(1)
Computed, not measured: a geometry-optimized Si2Mo structure at the PBE level of DFT.

For the density of states at the Fermi level, the calculation gives 0.653 states/eV per atom. The calculation puts the formation energy from raw total energies at -0.024 eV per atom. The density comes out at 5.74 g cm⁻³.

The space group is P-3m1 (No. 164) and the conventional cell measures 2.9375, 2.9375 and 5.8833 Å, with angles of 90.00, 90.00 and 120.00 degrees. The distinct sites, in fractional coordinates, are Si at (0.3333, 0.6667, 0.3283) and Mo at (0.0000, 0.0000, 0.0000).

***

(2)
Computed, not measured: a geometry-optimized Si3Mo structure at the PBE level of DFT.

For the density of states at the Fermi level, the calculation gives 0.647 states/eV per atom. For the excess energy over the best structure of this formula in the dataset, the calculation gives 435 meV per atom. The calculation puts the formation energy from raw total energies at 0.294 eV per atom. The density comes out at 5.32 g cm⁻³.

The space group is P6_3/mmc (No. 194) and the conventional cell measures 5.2003, 5.2003 and 9.6044 Å, with angles of 90.00, 90.00 and 120.00 degrees. The distinct sites, in fractional coordinates, are Si at (0.0000, 0.5000, 0.0000), Si at (0.1658, 0.3316, 0.2500), Mo at (0.0000, 0.0000, 0.0000) and Mo at (0.3333, 0.6667, 0.7500).

***

(3)
Computed, not measured: a geometry-optimized SiMo3 structure at the PBE level of DFT.

For the density of states at the Fermi level, the calculation gives 0.648 states/eV per atom. For the excess energy over the best structure of this formula in the dataset, the calculation gives 288 meV per atom. The calculation puts the formation energy from raw total energies at -0.037 eV per atom. The density comes out at 8.64 g cm⁻³.

The space group is Cmmm (No. 65) and the conventional cell measures 3.232, 4.495 and 8.356 Å, with angles of 90.00, 90.00 and 90.00 degrees. The distinct sites, in fractional coordinates, are Si at (0.000, 0.000, 0.000), Mo at (0.000, 0.000, 0.500) and Mo at (0.000, 0.500, 0.237).

***

(4)
Computed, not measured: a geometry-optimized Si4Mo structure at the PBE level of DFT.

For the density of states at the Fermi level, the calculation gives 0.811 states/eV per atom. For the excess energy over the best structure of this formula in the dataset, the calculation gives 0 meV per atom. The calculation puts the formation energy from raw total energies at 0.308 eV per atom. The density comes out at 3.90 g cm⁻³.

The space group is Im-3m (No. 229) and the conventional cell measures 5.619, 5.619 and 5.619 Å, with angles of 90.00, 90.00 and 90.00 degrees. The distinct sites, in fractional coordinates, are Si at (0.250, 0.250, 0.250) and Mo at (0.000, 0.000, 0.000).

***

(5)
Computed, not measured: a geometry-optimized Si2Mo structure at the PBE level of DFT.

For the density of states at the Fermi level, the calculation gives 0.870 states/eV per atom. The calculation puts the formation energy from raw total energies at 0.189 eV per atom. The density comes out at 4.91 g cm⁻³.

The space group is P4/mmm (No. 123) and the conventional cell measures 4.327, 4.327 and 2.748 Å, with angles of 90.00, 90.00 and 90.00 degrees. The distinct sites, in fractional coordinates, are Si at (0.000, 0.500, 0.000) and Mo at (0.000, 0.000, 0.500).

***

(6)
Computed, not measured: a geometry-optimized SiMo structure at the PBE level of DFT.

For the density of states at the Fermi level, the calculation gives 1.170 states/eV per atom. The calculation puts the formation energy from raw total energies at 0.095 eV per atom. The density comes out at 7.05 g cm⁻³.

The space group is R-3m (No. 166, hexagonal axes) and the conventional cell measures 4.3518, 4.3518 and 10.6891 Å, with angles of 90.00, 90.00 and 120.00 degrees. The distinct sites, in fractional coordinates, are Si at (0.0000, 0.0000, 0.1241) and Mo at (0.0000, 0.0000, 0.3725).

***

no.,raw total energy (Ry per atom)
1,-0.5328
2,-0.4763
3,-0.6994
4,-0.4554
5,-0.5172
6,-0.5903